Density functional theory data (PBE-GGA) for an optimized crystal structure of ZnPbSe.

Cell: 5.013 5.013 5.013 Å, 60.00 60.00 60.00°
Fractional coordinates of all 3 atoms:
1 Zn 0.000 0.000 0.000
2 Pb 0.500 0.500 0.500
3 Se 0.750 0.750 0.750

The excess energy over the best structure of this formula in the dataset comes out at 32.62 kJ/mol of atoms. The raw total energy is -8.3 eV/cell. For the formation energy without anion corrections, the calculation gives 39 meV per atom. Its space-group type is F-43m, No. 216. The volume comes out at 29.7 A^3/atom. Its density of states at the Fermi level is 0.15 states/eV/cell. For the size of the total moment, the calculation gives 0.000 μB per formula unit.

Density functional theory data (PBE-GGA) for an optimized crystal structure of ZnPbSe2.

Cell: 3.888 3.888 7.191 Å, 90.00 90.00 90.00°
Fractional coordinates of all 4 atoms:
1 Zn 0.000 0.000 0.000
2 Pb 0.500 0.500 0.500
3 Se 0.000 0.000 0.655
4 Se 0.500 0.500 0.077

The raw total energy is -13.3 eV/cell. For the formation energy without anion corrections, the calculation gives -346 meV per atom. Its space-group type is P4mm, No. 99. The volume comes out at 27.2 A^3/atom. Its density of states at the Fermi level is 1.33 states/eV/cell. For the size of the total moment, the calculation gives 0.000 μB per formula unit.